Density functional theory data (SCAN) for a PBEsol-optimized structure of Sr2AuSe.

Theoretical density in g cm⁻³: 6.13
VASP energy in Ha/atom: -1.2838
Uncorrected formation energy in eV per atom: -1.488

```
Sr2AuSe
1.0
-0.499 4.094 -1.642
-2.351 -1.644 -3.384
-5.215 0.684 3.290
Au Se Sr
1 1 2
Direct
0.375 0.000 0.000
0.875 0.500 0.500
0.875 0.500 0.000
0.375 0.000 0.500
```

=====

Density functional theory data (SCAN) for a PBEsol-optimized structure of KLiTa2.

Theoretical density in g cm⁻³: 7.76
VASP energy in Ha/atom: -1.2775

```
KLiTa2
1.0
3.823 0.000 0.000
0.000 3.823 0.000
-1.912 -1.912 5.971
K Li Ta
1 1 2
Direct
0.500 0.500 0.000
0.000 0.000 0.000
0.750 0.250 0.500
0.250 0.750 0.500
```

=====

Density functional theory data (SCAN) for a PBEsol-optimized structure of Sr2Ca6Mn5Fe3O24.

Theoretical density in g cm⁻³: 4.91
VASP energy in Ha/atom: -0.4575
Uncorrected formation energy in eV per atom: -2.506

```
Sr2Ca6Mn5Fe3O24
1.0
7.494 0.000 0.009
0.000 7.476 0.000
0.012 0.000 7.494
Sr Ca Mn Fe O
2 6 5 3 24
Direct
0.248 0.750 0.248
0.248 0.250 0.248
0.745 0.749 0.241
0.744 0.750 0.744
0.241 0.749 0.745
0.745 0.251 0.241
0.744 0.250 0.744
0.241 0.251 0.745
0.497 0.000 0.497
0.994 0.500 0.994
0.497 0.500 0.992
0.992 0.500 0.497
0.496 0.500 0.496
0.996 0.000 0.996
0.499 0.000 0.994
0.994 0.000 0.499
0.998 0.751 0.998
0.507 0.751 0.002
0.002 0.751 0.507
0.508 0.750 0.508
0.998 0.249 0.998
0.507 0.249 0.002
0.002 0.249 0.507
0.508 0.250 0.508
0.994 0.000 0.250
0.506 0.000 0.249
0.998 0.000 0.750
0.504 0.000 0.751
0.999 0.500 0.253
0.512 0.500 0.253
0.010 0.500 0.752
0.515 0.500 0.753
0.750 0.000 0.998
0.250 0.000 0.994
0.751 0.000 0.504
0.249 0.000 0.506
0.752 0.500 0.010
0.253 0.500 0.999
0.753 0.500 0.515
0.253 0.500 0.512
```